# FeNi

FeNi after structural relaxation (PBE-GGA, the Alexandria database).

Output
VASP energy in eV/f.u.: -13.2
SG: P4_2/mnm

abc: 4.692 4.692 4.741
angles: 90.00 90.00 90.00
Sites, in units of the cell vectors:
Fe (0.806, 0.194, 0.000)
Fe (0.694, 0.694, 0.500)
Fe (0.194, 0.806, 0.000)
Fe (0.306, 0.306, 0.500)
Ni (0.690, 0.690, 0.000)
Ni (0.810, 0.190, 0.500)
Ni (0.310, 0.310, 0.000)
Ni (0.190, 0.810, 0.500)